VASP calculation (GGA+U) on crystalline FeSbO4 at its relaxed geometry.

Cell and atoms, written as POSCAR:
```
FeSbO4
1.0
5.6283 -0.0379 0.0681
1.6907 5.3686 0.0681
-1.6903 2.9062 4.5147
Fe Sb O
2 2 8
direct
0.0000 0.5071 0.4929 Fe
0.5000 0.7571 0.7429 Fe
0.5000 0.2465 0.2535 Sb
0.0000 0.9965 0.0035 Sb
0.8111 0.7460 0.0651 O
0.3111 0.1849 0.5040 O
0.6889 0.8072 0.5040 O
0.1889 0.7460 0.4428 O
0.8092 0.2521 0.5570 O
0.3092 0.6930 0.9979 O
0.6908 0.3113 0.9979 O
0.1908 0.2521 0.9387 O
```

Calculated values
Symmetry: I4_1md
ρ: 5.88 Mg/m³
Crystal system: tetragonal
Total DFT energy (no corrections): -75.099 eV/cell